Entry 1:
Computed, not measured: a relaxed TeMoSe2F crystal at the GGA-PBEsol level of DFT.

Lattice parameters (Å, degrees): 5.223 5.223 5.309 90.00 90.00 90.00
Space group P4/mmm (No. 123)
One atom of each set of equivalent atoms:
Te 0.000 0.000 0.000 (multiplicity 1)
Mo 0.000 0.000 0.500 (multiplicity 1)
Se 0.000 0.500 0.000 (multiplicity 2)
F 0.500 0.500 0.500 (multiplicity 1)

Entry 2:
Computed, not measured: a relaxed ZrSi2MoF crystal at the GGA-PBEsol level of DFT.

Lattice parameters (Å, degrees): 5.018 5.018 3.929 90.00 90.00 90.00
Space group P4/mmm (No. 123)
One atom of each set of equivalent atoms:
Zr 0.000 0.000 0.000 (multiplicity 1)
Si 0.000 0.500 0.000 (multiplicity 2)
Mo 0.500 0.500 0.500 (multiplicity 1)
F 0.000 0.000 0.500 (multiplicity 1)

Entry 3:
Computed, not measured: a relaxed SrMo2F crystal at the GGA-PBEsol level of DFT.

Lattice parameters (Å, degrees): 6.447 6.447 6.447 90.00 90.00 90.00
Space group Fm-3m (No. 225)
One atom of each set of equivalent atoms:
Sr 0.000 0.000 0.000 (multiplicity 4)
Mo 0.250 0.250 0.250 (multiplicity 8)
F 0.000 0.000 0.500 (multiplicity 4)

no.,E_form (uncorrected) (eV/atom),total magnetic moment (μB per formula unit),calculated total energy (eV per atom)
1,1.0313,3.19,-3.95
2,0.2538,2.52,-6.60
3,1.5832,0.00,-5.24